DFT (GGA-PBE) results for crystalline La2DyZrN4 at its relaxed geometry.

a b c (Å): 6.073 3.503 6.214
angles (deg): 90.00 108.85 90.00
Space group P2/m (No. 10)
Inequivalent atoms, fractional coordinates:
La1 0.000 0.000 0.000
La2 0.500 0.500 0.000
Dy1 0.000 0.500 0.500
Zr1 0.500 0.000 0.500
N1 0.255 0.000 0.722
N2 0.271 0.500 0.282

Calculated values
Formation energy without anion corrections = -1.506 eV per atom

DFT (GGA-PBE) results for crystalline LaDy2ZrN4 at its relaxed geometry.

a b c (Å): 5.991 3.469 6.080
angles (deg): 90.00 109.19 90.00
Space group P2/m (No. 10)
Inequivalent atoms, fractional coordinates:
La1 0.000 0.000 0.000
Dy1 0.500 0.000 0.500
Dy2 0.500 0.500 0.000
Zr1 0.000 0.500 0.500
N1 0.242 0.000 0.732
N2 0.250 0.500 0.273

Calculated values
Formation energy without anion corrections = -1.559 eV per atom

DFT (GGA-PBE) results for crystalline La3DyZr2N6 at its relaxed geometry.

a b c (Å): 6.015 10.415 6.208
angles (deg): 90.00 108.80 90.00
Space group C2/m (No. 12)
Inequivalent atoms, fractional coordinates:
La1 0.000 0.000 0.000
La2 0.000 0.334 0.000
Dy1 0.000 0.500 0.500
Zr1 0.000 0.166 0.500
N1 0.224 0.000 0.714
N2 0.246 0.327 0.717

Calculated values
Formation energy without anion corrections = -1.520 eV per atom

DFT (GGA-PBE) results for crystalline NaLa2Dy at its relaxed geometry.

a b c (Å): 3.6028 3.6028 39.2192
angles (deg): 90.00 90.00 120.00
Space group R-3m (No. 166, hexagonal axes)
Inequivalent atoms, fractional coordinates:
Na1 0.0000 0.0000 0.0000
La1 0.0000 0.0000 0.0924
Dy1 0.0000 0.0000 0.5000

Calculated values
Relative energy among the computed polymorphs = 25.4 meV/atom
DFT formation energy = 0.121 eV per atom

DFT (GGA-PBE) results for crystalline NaLaDy2 at its relaxed geometry.

a b c (Å): 3.5735 3.5735 36.8348
angles (deg): 90.00 90.00 120.00
Space group R3m (No. 160, hexagonal axes)
Inequivalent atoms, fractional coordinates:
Na1 0.0000 0.0000 0.0000
La1 0.0000 0.0000 0.8334
Dy1 0.0000 0.0000 0.4188
Dy2 0.0000 0.0000 0.5813

Calculated values
Relative energy among the computed polymorphs = 0.0 meV/atom
DFT formation energy = 0.162 eV per atom

DFT (GGA-PBE) results for crystalline NaLa2Dy at its relaxed geometry.

a b c (Å): 3.584 3.584 11.174
angles (deg): 90.00 90.00 90.00
Space group P4/mmm (No. 123)
Inequivalent atoms, fractional coordinates:
Na1 0.000 0.000 0.000
La1 0.500 0.500 0.270
Dy1 0.000 0.000 0.500

Calculated values
Relative energy among the computed polymorphs = 0.0 meV/atom
DFT formation energy = 0.095 eV per atom

DFT (GGA-PBE) results for crystalline NaLaDy2 at its relaxed geometry.

a b c (Å): 3.596 3.596 10.577
angles (deg): 90.00 90.00 90.00
Space group P4/mmm (No. 123)
Inequivalent atoms, fractional coordinates:
Na1 0.000 0.000 0.000
La1 0.000 0.000 0.500
Dy1 0.500 0.500 0.265

Calculated values
Relative energy among the computed polymorphs = 2.8 meV/atom
DFT formation energy = 0.164 eV per atom

DFT (GGA-PBE) results for crystalline NaLaDy2 at its relaxed geometry.

a b c (Å): 3.5430 3.5430 38.4231
angles (deg): 90.00 90.00 120.00
Space group R-3m (No. 166, hexagonal axes)
Inequivalent atoms, fractional coordinates:
Na1 0.0000 0.0000 0.0000
La1 0.0000 0.0000 0.5000
Dy1 0.0000 0.0000 0.0914

Calculated values
Relative energy among the computed polymorphs = 23.6 meV/atom
DFT formation energy = 0.185 eV per atom

DFT (GGA-PBE) results for crystalline NaLa2Dy at its relaxed geometry.

a b c (Å): 6.077 6.077 3.780
angles (deg): 90.00 90.00 90.00
Space group P4/mmm (No. 123)
Inequivalent atoms, fractional coordinates:
Na1 0.000 0.000 0.000
La1 0.000 0.500 0.500
Dy1 0.500 0.500 0.000

Calculated values
Relative energy among the computed polymorphs = 78.7 meV/atom
DFT formation energy = 0.174 eV per atom

DFT (GGA-PBE) results for crystalline NaLaDy4O8 at its relaxed geometry.

a b c (Å): 6.8555 6.8555 17.2625
angles (deg): 90.00 90.00 120.00
Space group R3m (No. 160, hexagonal axes)
Inequivalent atoms, fractional coordinates:
Na1 0.0000 0.0000 0.0000
La1 0.0000 0.0000 0.6241
Dy1 0.0000 0.0000 0.2463
Dy2 0.1706 0.3412 0.4546
O1 0.0000 0.0000 0.3785
O2 0.0000 0.0000 0.8542
O3 0.0414 0.5207 0.3818
O4 0.1722 0.3443 0.1990

Calculated values
Formation energy without anion corrections = -3.225 eV per atom

DFT (GGA-PBE) results for crystalline NaLaDyPb at its relaxed geometry.

a b c (Å): 7.837 7.837 7.837
angles (deg): 90.00 90.00 90.00
Space group F-43m (No. 216)
Inequivalent atoms, fractional coordinates:
Na1 0.000 0.000 0.000
La1 0.250 0.250 0.250
Dy1 0.250 0.250 0.750
Pb1 0.000 0.000 0.500

Calculated values
DFT formation energy = -0.195 eV per atom

DFT (GGA-PBE) results for crystalline NaLaPrDy at its relaxed geometry.

a b c (Å): 8.215 8.215 8.215
angles (deg): 90.00 90.00 90.00
Space group F-43m (No. 216)
Inequivalent atoms, fractional coordinates:
Na1 0.000 0.000 0.000
La1 0.250 0.250 0.250
Pr1 0.250 0.250 0.750
Dy1 0.000 0.000 0.500

Calculated values
DFT formation energy = 0.250 eV per atom

DFT (GGA-PBE) results for crystalline NaLa4Dy3S8 at its relaxed geometry.

a b c (Å): 8.0725 8.0725 19.9099
angles (deg): 90.00 90.00 120.00
Space group R-3m (No. 166, hexagonal axes)
Inequivalent atoms, fractional coordinates:
Na1 0.0000 0.0000 0.0000
La1 0.0000 0.0000 0.5000
La2 0.0000 0.5000 0.5000
Dy1 0.0000 0.5000 0.0000
S1 0.0000 0.0000 0.2566
S2 0.0033 0.5017 0.2562

Calculated values
Formation energy without anion corrections = -2.020 eV per atom

DFT (GGA-PBE) results for crystalline NaLaDy2S4 at its relaxed geometry.

a b c (Å): 6.899 3.971 7.039
angles (deg): 90.00 108.91 90.00
Space group P2/m (No. 10)
Inequivalent atoms, fractional coordinates:
Na1 0.000 0.000 0.000
La1 0.500 0.500 0.000
Dy1 0.000 0.500 0.500
Dy2 0.500 0.000 0.500
S1 0.240 0.000 0.734
S2 0.254 0.500 0.266

Calculated values
Formation energy without anion corrections = -1.957 eV per atom

DFT (GGA-PBE) results for crystalline Na3LaDy2Se6 at its relaxed geometry.

a b c (Å): 7.316 12.674 7.415
angles (deg): 90.00 109.26 90.00
Space group C2/m (No. 12)
Inequivalent atoms, fractional coordinates:
Na1 0.000 0.000 0.000
Na2 0.000 0.335 0.000
La1 0.000 0.500 0.500
Dy1 0.000 0.167 0.500
Se1 0.233 0.000 0.732
Se2 0.250 0.172 0.269

Calculated values
Formation energy without anion corrections = -1.719 eV per atom

DFT (GGA-PBE) results for crystalline NaLa2DySe4 at its relaxed geometry.

a b c (Å): 7.282 4.233 7.376
angles (deg): 90.00 109.43 90.00
Space group P2/m (No. 10)
Inequivalent atoms, fractional coordinates:
Na1 0.000 0.000 0.000
La1 0.500 0.000 0.500
La2 0.500 0.500 0.000
Dy1 0.000 0.500 0.500
Se1 0.234 0.000 0.742
Se2 0.240 0.500 0.252

Calculated values
Formation energy without anion corrections = -1.814 eV per atom

DFT (GGA-PBE) results for crystalline NaLa3Dy2Se6 at its relaxed geometry.

a b c (Å): 7.289 12.639 7.315
angles (deg): 90.00 109.44 90.00
Space group C2/m (No. 12)
Inequivalent atoms, fractional coordinates:
Na1 0.000 0.000 0.000
La1 0.000 0.163 0.500
La2 0.000 0.500 0.500
Dy1 0.000 0.334 0.000
Se1 0.242 0.500 0.230
Se2 0.246 0.168 0.235

Calculated values
Formation energy without anion corrections = -1.838 eV per atom

DFT (GGA-PBE) results for crystalline NaLaDy4Se8 at its relaxed geometry.

a b c (Å): 8.4599 8.4599 21.3058
angles (deg): 90.00 90.00 120.00
Space group R3m (No. 160, hexagonal axes)
Inequivalent atoms, fractional coordinates:
Na1 0.0000 0.0000 0.0000
La1 0.0000 0.0000 0.3687
Dy1 0.0000 0.0000 0.7458
Dy2 0.0131 0.5065 0.8740
Se1 0.0000 0.0000 0.1332
Se2 0.0000 0.0000 0.6141
Se3 0.0136 0.5068 0.1285
Se4 0.1773 0.3546 0.9483

Calculated values
Formation energy without anion corrections = -1.784 eV per atom

DFT (GGA-PBE) results for crystalline NaLa3Dy3Se8 at its relaxed geometry.

a b c (Å): 8.3235 8.3235 20.6257
angles (deg): 90.00 90.00 120.00
Space group R-3m (No. 166, hexagonal axes)
Inequivalent atoms, fractional coordinates:
Na1 0.0000 0.0000 0.0000
La1 0.0000 0.5000 0.5000
Dy1 0.0000 0.5000 0.0000
Se1 0.0000 0.0000 0.2557
Se2 0.0103 0.5052 0.2532

Calculated values
Formation energy without anion corrections = -1.855 eV per atom

DFT (GGA-PBE) results for crystalline NaLa4Dy3Se8 at its relaxed geometry.

a b c (Å): 8.4049 8.4049 20.6810
angles (deg): 90.00 90.00 120.00
Space group R-3m (No. 166, hexagonal axes)
Inequivalent atoms, fractional coordinates:
Na1 0.0000 0.0000 0.0000
La1 0.0000 0.0000 0.5000
La2 0.0000 0.5000 0.5000
Dy1 0.0000 0.5000 0.0000
Se1 0.0000 0.0000 0.2561
Se2 0.0017 0.5009 0.2559

Calculated values
Formation energy without anion corrections = -1.845 eV per atom

For the records above, the corresponding total magnetic moment values read 0.00, 0.00, 0.00, 0.00, 0.00, 0.00, 0.00, 0.00, 0.00, 0.00, 0.00, 0.00, 0.00, 0.00, 0.00, 0.00, 0.00, 0.00, 0.00, 0.00 Bohr magnetons per cell.